Model w:
# Li2AcZn2 (PBE, optimized geometry)
data_Li2AcZn2
_chemical_formula_sum 'Li8 Ac4 Zn8'
_space_group_name_H-M_alt 'I m m a'
_space_group_IT_number 74
_space_group_name_Hall '-I 2b 2'
_cell_length_a 4.075
_cell_length_b 4.647
_cell_length_c 24.515
_cell_angle_alpha 90.00
_cell_angle_beta 90.00
_cell_angle_gamma 90.00
loop_
_atom_site_label
_atom_site_type_symbol
_atom_site_fract_x
_atom_site_fract_y
_atom_site_fract_z
_atom_site_occupancy
Li1 Li 0.000 0.250 0.204 1
Li2 Li 0.000 0.250 0.709 1
Ac1 Ac 0.000 0.250 0.419 1
Zn1 Zn 0.000 0.250 0.862 1
Zn2 Zn 0.000 0.250 0.973 1
# Calculated volume = 464.2 Å³ per cell
# D(E_F) = 4.7 states/eV/f.u.



Model x:
# Li2AcZn2 (PBE, optimized geometry)
data_Li2AcZn2
_chemical_formula_sum 'Li4 Ac2 Zn4'
_space_group_name_H-M_alt 'C 1 2/m 1'
_space_group_IT_number 12
_cell_length_a 10.151
_cell_length_b 4.807
_cell_length_c 5.050
_cell_angle_alpha 90.00
_cell_angle_beta 116.09
_cell_angle_gamma 90.00
loop_
_space_group_symop_operation_xyz
'x,y,z'
'-x,-y,-z'
'-x,y,-z'
'x,-y,z'
'x+1/2,y+1/2,z'
'-x+1/2,-y+1/2,-z'
'-x+1/2,y+1/2,-z'
'x+1/2,-y+1/2,z'
loop_
_atom_site_label
_atom_site_type_symbol
_atom_site_fract_x
_atom_site_fract_y
_atom_site_fract_z
_atom_site_occupancy
Li1 Li 0.139 0.000 0.220 1
Ac1 Ac 0.000 0.500 0.500 1
Zn1 Zn 0.245 0.000 0.821 1
# Calculated volume = 221.3 Å³ per cell
# D(E_F) = 3.2 states/eV/f.u.



If you had to name the least stable structure above, which would it be? It would be model x.